(1)
The following is a DFT calculation (meta-GGA SCAN) of a PBEsol-optimized structure of LaY3Sc4O12.

Cell: 5.4563 5.7169 7.9159 Å, 90.00 90.00 90.00°
Closest atoms and distances in Å follow each position.
Positions (direct):
La 0.4872 0.4476 0.5000  4 O 2.33-2.47
Y 0.0221 0.9385 0.5000  4 O 2.22-2.30
Y 0.5204 0.5667 0.0000  6 O 2.23-2.48
Y 0.9821 0.0598 0.0000  4 O 2.21-2.32
Sc 0.4986 0.0028 0.7537  6 O 2.08-2.14
Sc 0.0020 0.5005 0.2451  6 O 2.06-2.12
Sc 0.4986 0.0028 0.2463  6 O 2.08-2.14
Sc 0.0020 0.5005 0.7549  6 O 2.06-2.12
O 0.6286 0.0367 0.5000  2 Sc 2.14, 1 Y 2.22
O 0.9001 0.5543 0.5000  2 Sc 2.12, 1 Y 2.30, 1 La 2.33
O 0.3687 0.9452 0.0000  2 Sc 2.10, 2 Y 2.21-2.32
O 0.1333 0.4395 0.0000  2 Sc 2.10, 2 Y 2.23-2.32
O 0.8015 0.8019 0.8216  2 Sc 2.08-2.11, 1 Y 2.27
O 0.6909 0.3080 0.1816  2 Sc 2.08-2.10, 1 Y 2.26
O 0.1849 0.1890 0.3124  2 Sc 2.08-2.11, 1 Y 2.25
O 0.3008 0.7036 0.6926  2 Sc 2.06-2.08
O 0.1849 0.1890 0.6876  2 Sc 2.08-2.11, 1 Y 2.25
O 0.3008 0.7036 0.3074  2 Sc 2.06-2.08
O 0.8015 0.8019 0.1784  2 Sc 2.08-2.11, 1 Y 2.27
O 0.6909 0.3080 0.8184  2 Sc 2.08-2.10, 1 Y 2.26

**Formation energy from raw total energies**: -3.89 eV per atom
**N(E_F)**: 0.000 states/eV per cell
**SG**: Pm, No. 6

***

(2)
The following is a DFT calculation (meta-GGA SCAN) of a PBEsol-optimized structure of LaSe2O.

Cell: 5.3281 5.3281 7.8895 Å, 109.74 109.74 90.00°
Closest atoms and distances in Å follow each position.
Positions (direct):
O 0.7500 0.2500 0.5000  4 Se 2.30
O 0.5000 0.5000 0.0000  4 Se 2.30
Se 0.4925 0.8750 0.2500  2 O 2.30
Se 0.7575 0.3750 0.2500  2 O 2.30
Se 0.1250 0.2425 0.7500  2 O 2.30
Se 0.6250 0.5075 0.7500  2 O 2.30
La 0.2500 0.7500 0.5000  4 Se 2.93
La 0.0000 0.0000 0.0000  4 Se 2.93

**Formation energy from raw total energies**: -0.68 eV per atom
**N(E_F)**: 2.941 states/eV per cell
**SG**: I-42d, No. 122

***

(3)
The following is a DFT calculation (meta-GGA SCAN) of a PBEsol-optimized structure of La2Se2O.

Cell: 7.3526 7.4017 8.8806 Å, 90.00 99.55 90.00°
Closest atoms and distances in Å follow each position.
Positions (direct):
La 0.2446 0.4467 0.8574  1 O 2.39
La 0.7446 0.0533 0.8574  1 O 2.39
La 0.3215 0.8569 0.5763  3 O 2.41-2.43
La 0.8215 0.6431 0.5763  3 O 2.41-2.43
La 0.1785 0.3569 0.4237  3 O 2.41-2.43
La 0.6785 0.1431 0.4237  3 O 2.41-2.43
La 0.2554 0.9467 0.1426  1 O 2.39
La 0.7554 0.5533 0.1426  1 O 2.39
Se 0.4730 0.7752 0.9212  5 La 2.96-3.14
Se 0.9730 0.7248 0.9212  5 La 2.96-3.14
Se 0.0594 0.1352 0.6769  5 La 3.00-3.29
Se 0.5594 0.3648 0.6769  5 La 3.00-3.29
Se 0.4406 0.6352 0.3231  5 La 3.00-3.29
Se 0.9406 0.8648 0.3231  5 La 3.00-3.29
Se 0.0270 0.2752 0.0788  5 La 2.96-3.14
Se 0.5270 0.2248 0.0788  5 La 2.96-3.14
O 0.1488 0.5847 0.6143  4 La 2.39-2.43
O 0.6488 0.9153 0.6143  4 La 2.39-2.43
O 0.3512 0.0847 0.3857  4 La 2.39-2.43
O 0.8512 0.4153 0.3857  4 La 2.39-2.43

**Formation energy from raw total energies**: -2.88 eV per atom
**N(E_F)**: 0.000 states/eV per cell
**SG**: P2_1/c, No. 14

***

(4)
The following is a DFT calculation (meta-GGA SCAN) of a PBEsol-optimized structure of La2Se2O.

Cell: 4.1434 7.2796 16.2208 Å, 90.00 90.00 90.00°
Closest atoms and distances in Å follow each position.
Positions (direct):
La 0.2500 0.7009 0.0362  3 O 2.41-2.42
La 0.2500 0.2595 0.1692  1 O 2.35
La 0.7500 0.7595 0.3308  1 O 2.35
La 0.7500 0.2009 0.4638  3 O 2.41-2.42
La 0.2500 0.7991 0.5362  3 O 2.41-2.42
La 0.2500 0.2405 0.6692  1 O 2.35
La 0.7500 0.7405 0.8308  1 O 2.35
La 0.7500 0.2991 0.9638  3 O 2.41-2.42
Se 0.7500 0.0064 0.1057  5 La 2.96-3.24
Se 0.7500 0.5473 0.1721  5 La 2.95-3.23
Se 0.2500 0.0473 0.3279  5 La 2.95-3.23
Se 0.2500 0.5064 0.3943  5 La 2.96-3.24
Se 0.7500 0.4936 0.6057  5 La 2.96-3.24
Se 0.7500 0.9527 0.6721  5 La 2.95-3.23
Se 0.2500 0.4527 0.8279  5 La 2.95-3.23
Se 0.2500 0.9936 0.8943  5 La 2.96-3.24
O 0.2500 0.3689 0.0331  4 La 2.35-2.42
O 0.7500 0.8689 0.4669  4 La 2.35-2.42
O 0.2500 0.1311 0.5331  4 La 2.35-2.42
O 0.7500 0.6311 0.9669  4 La 2.35-2.42

**Formation energy from raw total energies**: -2.87 eV per atom
**N(E_F)**: 0.000 states/eV per cell
**SG**: Pnma, No. 62

***

(5)
The following is a DFT calculation (meta-GGA SCAN) of a PBEsol-optimized structure of LaSe3O12.

Cell: 6.4060 9.5643 9.5643 Å, 120.00 90.00 90.00°
Closest atoms and distances in Å follow each position.
Positions (direct):
La 0.7500 0.6667 0.3333  9 O 2.46-2.52
La 0.2500 0.3333 0.6667  9 O 2.46-2.52
Se 0.7500 0.2977 0.3929  4 O 1.66-1.67
Se 0.2500 0.7023 0.6071  4 O 1.66-1.67
Se 0.7500 0.6071 0.9048  4 O 1.66-1.67
Se 0.2500 0.3929 0.0952  4 O 1.66-1.67
Se 0.7500 0.0952 0.7023  4 O 1.66-1.67
Se 0.2500 0.9048 0.2977  4 O 1.66-1.67
O 0.7500 0.5439 0.0375  1 Se 1.66
O 0.2500 0.4561 0.9625  1 Se 1.66
O 0.7500 0.9625 0.5064  1 Se 1.66
O 0.2500 0.0375 0.4936  1 Se 1.66
O 0.7500 0.4936 0.4561  1 Se 1.66
O 0.2500 0.5064 0.5439  1 Se 1.66
O 0.7500 0.1846 0.1936  1 Se 1.66
O 0.2500 0.8154 0.8064  1 Se 1.66
O 0.7500 0.8064 0.9910  1 Se 1.66
O 0.2500 0.1936 0.0090  1 Se 1.66
O 0.7500 0.0090 0.8154  1 Se 1.66
O 0.2500 0.9910 0.1846  1 Se 1.66
O 0.5417 0.2485 0.4642  1 Se 1.67
O 0.4583 0.7515 0.5358  1 Se 1.67
O 0.5417 0.5358 0.7843  1 Se 1.67
O 0.0417 0.7515 0.5358  1 Se 1.67
O 0.4583 0.4642 0.2157  1 Se 1.67
O 0.9583 0.2485 0.4642  1 Se 1.67
O 0.5417 0.2157 0.7515  1 Se 1.67
O 0.0417 0.4642 0.2157  1 Se 1.67
O 0.4583 0.7843 0.2485  1 Se 1.67
O 0.9583 0.5358 0.7843  1 Se 1.67
O 0.0417 0.7843 0.2485  1 Se 1.67
O 0.9583 0.2157 0.7515  1 Se 1.67

**Formation energy from raw total energies**: -0.88 eV per atom
**N(E_F)**: 16.423 states/eV per cell
**SG**: P6_3/m, No. 176

***

(6)
The following is a DFT calculation (meta-GGA SCAN) of a PBEsol-optimized structure of La2SeO.

Cell: 6.2739 6.2739 7.2036 Å, 115.82 115.82 90.00°
Closest atoms and distances in Å follow each position.
Positions (direct):
O 0.7500 0.2500 0.5000  4 La 2.40
O 0.5000 0.5000 0.0000  4 La 2.40
Se 0.2500 0.7500 0.5000  4 La 2.91
Se 0.0000 0.0000 0.0000  4 La 2.91
La 0.4440 0.8750 0.2500  2 O 2.40
La 0.8060 0.3750 0.2500  2 O 2.40
La 0.1250 0.1940 0.7500  2 O 2.40
La 0.6250 0.5560 0.7500  2 O 2.40

**Formation energy from raw total energies**: -2.30 eV per atom
**N(E_F)**: 4.097 states/eV per cell
**SG**: I-42d, No. 122